Here is a relaxed MnFe2Ru crystal from Alexandria via LeMat-Bulk. Energies are from PBE-GGA.

Calculated values
V ... 12.145 A^3/atom
Raw total energy ... -8.80 eV/atom
Space group ... No. 139
ΔE_f ... 0.042 eV per atom

abc: 4.493 4.493 4.493
angles: 132.35 132.35 69.68
Each line ends with the local moment (μB).
Element x y z (fractional)
Mn: 0.250 0.750 0.500  -2.64
Ru: 0.750 0.250 0.500  0.03
Fe: 0.000 0.000 0.000  1.98
Fe: 0.500 0.500 0.000  1.98